1.
The following is a meta-GGA SCAN calculation of RhAu3F at its PBEsol-relaxed geometry, from Alexandria via LeMat-Bulk.

Structure (extended XYZ):
```
5
Lattice="4.383 0.000 0.000 0.000 4.383 0.000 0.000 0.000 4.383" Properties=species:S:1:pos:R:3 pbc="T T T"
Rh 0.000 0.000 0.000
Au 0.000 2.192 2.192
Au 2.192 0.000 2.192
Au 2.192 2.192 0.000
F 2.192 2.192 2.192
```

Properties
The calculation puts the raw total energy at -48.194 eV/atom. As for the calculated volume: 84 Å³/f.u.



2.
The following is a meta-GGA SCAN calculation of Co2RuBr at its PBEsol-relaxed geometry, from Alexandria via LeMat-Bulk.

Structure (extended XYZ):
```
4
Lattice="2.837 0.000 0.000 0.000 3.007 0.000 0.000 0.000 6.759" Properties=species:S:1:pos:R:3 pbc="T T T"
Co 0.000 0.000 0.000
Co 1.418 1.503 1.228
Ru 0.000 0.000 2.578
Br 1.418 0.000 4.727
```

Properties
The calculation puts the raw total energy at -21.709 eV/atom. As for the calculated volume: 58 Å³/f.u.



3.
The following is a meta-GGA SCAN calculation of Li2MoP4O13 at its PBEsol-relaxed geometry, from Alexandria via LeMat-Bulk.

Structure (extended XYZ):
```
40
Lattice="5.280 0.000 0.000 -1.321 7.903 0.000 -1.303 -1.754 12.717" Properties=species:S:1:pos:R:3 pbc="T T T"
Li 0.140 1.357 0.209
Li -0.651 7.006 6.297
Li 3.307 -0.856 6.420
Li 2.516 4.792 12.508
Mo 0.617 3.359 9.464
Mo 2.039 2.791 3.253
P -0.638 1.295 4.623
P -0.570 4.316 1.857
P -0.823 6.115 10.534
P 0.949 5.761 3.826
P 1.707 0.389 8.891
P 3.479 0.034 2.183
P 3.226 1.833 10.860
P 3.294 4.855 8.094
O -0.665 0.384 5.807
O -1.915 5.781 9.433
O -0.542 5.237 0.700
O -0.814 3.876 8.170
O -0.417 5.235 3.225
O -1.516 6.203 11.849
O -0.721 2.564 10.649
O 0.574 3.274 1.939
O 0.698 2.029 4.475
O 0.821 1.574 8.551
O 1.004 -0.324 10.150
O 0.707 6.713 4.946
O 0.356 5.159 10.413
O 2.300 0.990 2.304
O 1.949 -0.564 7.771
O 1.652 6.473 2.566
O 1.835 4.575 4.166
O 1.958 4.120 8.242
O 2.082 2.875 10.778
O 3.377 3.585 2.068
O 4.172 -0.054 0.868
O 3.073 0.914 9.492
O 3.470 2.273 4.546
O 3.198 0.912 12.017
O 4.571 0.368 3.284
O 3.321 5.765 6.910
```

Properties
The calculation puts the raw total energy at -10.501 eV/atom. As for the calculated volume: 265 Å³/f.u.



4.
The following is a meta-GGA SCAN calculation of Ca2Se at its PBEsol-relaxed geometry, from Alexandria via LeMat-Bulk.

Structure (extended XYZ):
```
6
Lattice="1.858 -8.477 0.000 1.858 8.477 0.000 0.000 0.000 5.469" Properties=species:S:1:pos:R:3 pbc="T T T"
Ca 1.858 7.304 4.102
Ca 1.858 5.010 1.367
Ca 1.858 -5.010 4.102
Ca 1.858 -7.304 1.367
Se 1.858 1.187 4.102
Se 1.858 -1.187 1.367
```

Properties
The calculation puts the raw total energy at -14.343 eV/atom. As for the calculated volume: 86 Å³/f.u.



5.
The following is a meta-GGA SCAN calculation of AlTe3O at its PBEsol-relaxed geometry, from Alexandria via LeMat-Bulk.

Structure (extended XYZ):
```
5
Lattice="5.201 0.000 0.000 0.000 5.201 0.000 0.000 0.000 5.201" Properties=species:S:1:pos:R:3 pbc="T T T"
Al 0.000 0.000 0.000
Te 0.000 0.000 2.601
Te 0.000 2.601 0.000
Te 2.601 0.000 0.000
O 2.601 2.601 2.601
```

Properties
The calculation puts the raw total energy at -24.369 eV/atom. As for the calculated volume: 141 Å³/f.u.



6.
The following is a meta-GGA SCAN calculation of YTiI2O at its PBEsol-relaxed geometry, from Alexandria via LeMat-Bulk.

Structure (extended XYZ):
```
5
Lattice="6.017 0.000 0.000 0.000 6.017 0.000 0.000 0.000 4.078" Properties=species:S:1:pos:R:3 pbc="T T T"
Y 0.000 0.000 0.000
Ti 3.008 3.008 2.039
I 0.000 3.008 0.000
I 3.008 0.000 0.000
O 0.000 0.000 2.039
```

Properties
The calculation puts the raw total energy at -25.812 eV/atom. As for the calculated volume: 148 Å³/f.u.



7.
The following is a meta-GGA SCAN calculation of Lu5Ge3 at its PBEsol-relaxed geometry, from Alexandria via LeMat-Bulk.

Structure (extended XYZ):
```
16
Lattice="8.187 0.000 0.000 -4.093 7.090 0.000 0.000 0.000 6.119" Properties=species:S:1:pos:R:3 pbc="T T T"
Lu -0.985 1.706 1.530
Lu -3.109 5.384 4.590
Lu 1.970 0.000 1.530
Lu 0.985 1.706 4.590
Lu 0.000 4.727 0.000
Lu 0.000 4.727 3.060
Lu 4.093 2.363 0.000
Lu 4.093 2.363 3.060
Lu 6.217 0.000 4.590
Lu 3.109 5.384 1.530
Ge -1.616 2.799 4.590
Ge -2.478 4.291 1.530
Ge 3.232 0.000 4.590
Ge 1.616 2.799 1.530
Ge 4.955 0.000 1.530
Ge 2.478 4.291 4.590
```

Properties
The energy of formation from the pure elements comes out at -666 kJ/mol of formula units. The calculation puts the raw total energy at -42.611 eV/atom. As for the calculated volume: 178 Å³/f.u.



8.
The following is a meta-GGA SCAN calculation of La2MnRh at its PBEsol-relaxed geometry, from Alexandria via LeMat-Bulk.

Structure (extended XYZ):
```
4
Lattice="3.360 0.000 0.000 0.000 3.360 0.000 0.000 0.000 8.299" Properties=species:S:1:pos:R:3 pbc="T T T"
La 0.000 0.000 0.000
La 1.680 1.680 3.232
Mn 0.000 0.000 5.285
Rh 1.680 1.680 6.509
```

Properties
The energy of formation from the pure elements comes out at -89 kJ/mol of formula units. The calculation puts the raw total energy at -34.789 eV/atom. As for the calculated volume: 94 Å³/f.u.



9.
The following is a meta-GGA SCAN calculation of Cu5Pt at its PBEsol-relaxed geometry, from Alexandria via LeMat-Bulk.

Structure (extended XYZ):
```
6
Lattice="4.181 0.000 0.000 0.000 1.337 6.465 0.000 -1.337 6.465" Properties=species:S:1:pos:R:3 pbc="T T T"
Cu 0.000 0.000 0.000
Cu 0.000 0.000 4.247
Cu 0.000 0.000 8.576
Cu 2.091 0.000 2.670
Cu 2.091 0.000 7.091
Pt 2.091 0.000 11.343
```

Properties
The energy of formation from the pure elements comes out at -40 kJ/mol of formula units. The calculation puts the raw total energy at -24.435 eV/atom. As for the calculated volume: 72 Å³/f.u.



10.
The following is a meta-GGA SCAN calculation of Nd3NiGe2 at its PBEsol-relaxed geometry, from Alexandria via LeMat-Bulk.

Structure (extended XYZ):
```
24
Lattice="11.669 0.000 0.000 0.000 4.226 0.000 0.000 0.000 11.429" Properties=species:S:1:pos:R:3 pbc="T T T"
Nd 0.673 1.057 1.409
Nd 1.368 3.170 6.376
Nd 2.527 1.057 9.158
Nd 3.308 3.170 3.444
Nd 4.467 1.057 0.662
Nd 5.162 3.170 7.124
Nd 6.507 1.057 4.305
Nd 7.202 3.170 10.768
Nd 8.361 1.057 7.986
Nd 9.142 3.170 2.271
Nd 10.301 1.057 5.053
Nd 10.996 3.170 10.020
Ni 1.501 1.057 4.167
Ni 4.334 3.170 9.882
Ni 7.335 1.057 1.547
Ni 10.168 3.170 7.262
Ge 0.277 3.170 3.555
Ge 2.310 3.170 11.365
Ge 3.525 1.057 5.651
Ge 5.558 1.057 9.269
Ge 6.111 3.170 2.160
Ge 8.144 3.170 5.779
Ge 9.359 1.057 0.064
Ge 11.392 1.057 7.874
```

Properties
The energy of formation from the pure elements comes out at -467 kJ/mol of formula units. The calculation puts the raw total energy at -31.656 eV/atom. As for the calculated volume: 141 Å³/f.u.



11.
The following is a meta-GGA SCAN calculation of CaTl2Pt at its PBEsol-relaxed geometry, from Alexandria via LeMat-Bulk.

Structure (extended XYZ):
```
4
Lattice="3.536 0.000 0.000 0.000 3.536 0.000 0.000 0.000 7.128" Properties=species:S:1:pos:R:3 pbc="T T T"
Ca 0.000 0.000 0.000
Tl 1.768 1.768 2.048
Tl 1.768 1.768 5.080
Pt 0.000 0.000 3.564
```

Properties
The energy of formation from the pure elements comes out at -122 kJ/mol of formula units. The calculation puts the raw total energy at -56.459 eV/atom. As for the calculated volume: 89 Å³/f.u.



12.
The following is a meta-GGA SCAN calculation of TaTl2W at its PBEsol-relaxed geometry, from Alexandria via LeMat-Bulk.

Structure (extended XYZ):
```
4
Lattice="4.867 -1.616 0.000 4.867 1.616 0.000 -1.028 0.000 4.869" Properties=species:S:1:pos:R:3 pbc="T T T"
Ta 0.000 0.000 0.000
Tl 1.640 0.000 3.634
Tl 7.065 0.000 1.235
W 4.353 0.000 2.435
```

Properties
The energy of formation from the pure elements comes out at 318 kJ/mol of formula units. The calculation puts the raw total energy at -69.423 eV/atom. As for the calculated volume: 77 Å³/f.u.



- What is the calculated volume in the ninth record?
  72 Å³/f.u.